A plane-wave DFT calculation with PBE with a Hubbard U was carried out for a relaxed structure of AcCr2SiO6.

a = 5.2281 Å, b = 5.2716 Å, c = 5.6421 Å
α = 114.49°, β = 90.12°, γ = 119.34°
Last column: nearest neighbours and their distance in Å.
Space group P1 (No. 1)
Asymmetric unit:
Ac  0.0000  0.0000  0.0000 x1  3 O 2.36-2.39
Cr  0.2710  0.5101  0.7838 x1  4 O 2.05-2.26
Cr  0.7679  0.5423  0.3473 x1  6 O 1.97-2.11
Si  0.4482  0.9032  0.3827 x1  6 O 1.79-1.92
O  0.0740  0.6651  0.1333 x1  1 Si 1.87, 1 Cr 2.02
O  0.1919  0.7151  0.5682 x1  1 Si 1.85
O  0.4545  0.5265  0.1294 x1  1 Si 1.92, 2 Cr 1.99-2.12
O  0.4970  0.3150  0.5584 x1  1 Si 1.85, 1 Cr 2.05
O  0.6029  0.0632  0.1504 x1  1 Si 1.83, 1 Cr 1.97
O  0.7859  0.9901  0.5660 x1  1 Si 1.79

Summary:
V	11.916	Å³/atom
total DFT energy (no corrections)	-7.7587	eV per atom
DOS at the Fermi energy	0.00	states/eV/cell